A relaxed structure of K2YPH. Source: Alexandria via LeMat-Bulk, functional PBE-GGA.

Lattice parameters (Å, degrees): 7.450 7.450 5.109 90.00 90.00 90.00
Sites, in units of the cell vectors:
1 Y 0.000 0.000 0.000
2 P 0.000 0.000 0.500
3 H 0.500 0.500 0.500
4 K 0.500 0.000 0.000
5 K 0.000 0.500 0.000

Summary:
The space group is P4/mmm (123). The density of states at the Fermi level is 3.60 states/eV/f.u. The calculation puts the total energy at -2.99 eV/atom. The calculation puts the magnetic moment at 0.96 μB per cell.


A relaxed structure of KZn2PH. Source: Alexandria via LeMat-Bulk, functional PBE-GGA.

Lattice parameters (Å, degrees): 5.013 3.798 5.013 90.00 90.00 90.00
Sites, in units of the cell vectors:
1 K 0.500 0.500 0.500
2 Zn 0.500 0.000 0.000
3 Zn 0.000 0.000 0.500
4 H 0.000 0.000 0.000
5 P 0.000 0.500 0.000

Summary:
The space group is P4/mmm (123). The density of states at the Fermi level is 1.84 states/eV/f.u. The calculation puts the total energy at -2.02 eV/atom. The calculation puts the magnetic moment at 0.00 μB per cell.


A relaxed structure of K2ZrPH. Source: Alexandria via LeMat-Bulk, functional PBE-GGA.

Lattice parameters (Å, degrees): 6.530 3.716 6.530 90.00 90.00 90.00
Sites, in units of the cell vectors:
1 Zr 0.000 0.000 0.000
2 K 0.000 0.000 0.500
3 K 0.500 0.000 0.000
4 H 0.000 0.500 0.000
5 P 0.500 0.500 0.500

Summary:
The space group is P4/mmm (123). The density of states at the Fermi level is 5.74 states/eV/f.u. The calculation puts the total energy at -3.01 eV/atom. The calculation puts the magnetic moment at 2.51 μB per cell.


A relaxed structure of K2PaH6. Source: Alexandria via LeMat-Bulk, functional PBE-GGA.

Lattice parameters (Å, degrees): 6.366 6.366 6.366 60.00 60.00 60.00
Sites, in units of the cell vectors:
1 H 0.760 0.240 0.240
2 H 0.760 0.760 0.240
3 H 0.760 0.240 0.760
4 H 0.240 0.760 0.760
5 H 0.240 0.240 0.760
6 H 0.240 0.760 0.240
7 K 0.750 0.750 0.750
8 K 0.250 0.250 0.250
9 Pa 0.000 0.000 0.000

Summary:
The space group is Fm-3m (225). The density of states at the Fermi level is 8.84 states/eV/f.u. The calculation puts the total energy at -3.31 eV/atom. The calculation puts the magnetic moment at 1.00 μB per cell.


A relaxed structure of K2PaH12Pd3. Source: Alexandria via LeMat-Bulk, functional PBE-GGA.

Lattice parameters (Å, degrees): 6.250 6.250 6.250 70.28 70.28 70.28
Sites, in units of the cell vectors:
1 K 0.614 0.614 0.614
2 K 0.386 0.386 0.386
3 Pd 0.000 0.000 0.500
4 Pd 0.500 0.000 0.000
5 Pd 0.000 0.500 0.000
6 H 0.744 0.744 0.074
7 H 0.744 0.074 0.744
8 H 0.126 0.126 0.610
9 H 0.256 0.256 0.926
10 H 0.874 0.874 0.390
11 H 0.126 0.610 0.126
12 H 0.074 0.744 0.744
13 H 0.874 0.390 0.874
14 H 0.256 0.926 0.256
15 H 0.610 0.126 0.126
16 H 0.390 0.874 0.874
17 H 0.926 0.256 0.256
18 Pa 0.000 0.000 0.000

Summary:
The space group is R-3m (166). The density of states at the Fermi level is 6.60 states/eV/f.u. The calculation puts the total energy at -3.94 eV/atom. The calculation puts the magnetic moment at 0.84 μB per cell.


A relaxed structure of KPaHS3. Source: Alexandria via LeMat-Bulk, functional PBE-GGA.

Lattice parameters (Å, degrees): 3.799 8.896 9.166 104.75 90.00 90.00
Sites, in units of the cell vectors:
1 Pa 0.250 0.674 0.179
2 Pa 0.750 0.326 0.821
3 S 0.750 0.442 0.136
4 S 0.750 0.268 0.540
5 S 0.750 0.868 0.133
6 S 0.250 0.732 0.460
7 S 0.250 0.558 0.864
8 S 0.250 0.132 0.867
9 K 0.750 0.820 0.761
10 K 0.250 0.180 0.239
11 H 0.750 0.720 0.402
12 H 0.250 0.280 0.598

Summary:
The space group is P2_1/m (11). The density of states at the Fermi level is 2.03 states/eV/f.u. The calculation puts the total energy at -5.47 eV/atom. The calculation puts the magnetic moment at 0.56 μB per cell.


A relaxed structure of K2PaH2S4. Source: Alexandria via LeMat-Bulk, functional PBE-GGA.

Lattice parameters (Å, degrees): 3.651 7.348 8.681 115.55 102.14 90.00
Sites, in units of the cell vectors:
1 K 0.143 0.650 0.286
2 K 0.857 0.350 0.714
3 S 0.497 0.734 0.994
4 S 0.179 0.172 0.358
5 S 0.503 0.266 0.006
6 S 0.821 0.828 0.642
7 H 0.672 0.166 0.345
8 H 0.328 0.834 0.655
9 Pa 0.000 0.000 0.000

Summary:
The space group is C2/m (12). The density of states at the Fermi level is 2.72 states/eV/f.u. The calculation puts the total energy at -4.79 eV/atom. The calculation puts the magnetic moment at 0.52 μB per cell.


A relaxed structure of K2PaH2Se4. Source: Alexandria via LeMat-Bulk, functional PBE-GGA.

Lattice parameters (Å, degrees): 3.845 7.625 9.061 115.81 102.25 90.00
Sites, in units of the cell vectors:
1 Se 0.181 0.171 0.361
2 Se 0.505 0.271 0.011
3 Se 0.495 0.729 0.989
4 Se 0.819 0.829 0.639
5 K 0.144 0.655 0.287
6 K 0.856 0.345 0.713
7 H 0.676 0.167 0.352
8 H 0.324 0.833 0.648
9 Pa 0.000 0.000 0.000

Summary:
The space group is C2/m (12). The density of states at the Fermi level is 2.18 states/eV/f.u. The calculation puts the total energy at -4.42 eV/atom. The calculation puts the magnetic moment at 0.52 μB per cell.


A relaxed structure of KH2Pb. Source: Alexandria via LeMat-Bulk, functional PBE-GGA.

Lattice parameters (Å, degrees): 5.340 5.340 7.265 68.44 68.44 90.00
Sites, in units of the cell vectors:
1 Pb 0.000 0.000 0.000
2 Pb 0.750 0.250 0.500
3 H 0.875 0.947 0.750
4 H 0.375 0.303 0.750
5 H 0.697 0.125 0.250
6 H 0.053 0.625 0.250
7 K 0.250 0.750 0.500
8 K 0.500 0.500 0.000

Summary:
The space group is I-42d (122). The density of states at the Fermi level is 1.51 states/eV/f.u. The calculation puts the magnetic moment at 0.00 μB per cell. The calculation puts the offset from the most stable computed form at 213 meV per atom.


A relaxed structure of KH3Pb. Source: Alexandria via LeMat-Bulk, functional PBE-GGA.

Lattice parameters (Å, degrees): 4.503 4.503 4.503 90.00 90.00 90.00
Sites, in units of the cell vectors:
1 H 0.500 0.000 0.000
2 H 0.000 0.000 0.500
3 H 0.000 0.500 0.000
4 Pb 0.000 0.000 0.000
5 K 0.500 0.500 0.500

Summary:
The space group is Pm-3m (221). The density of states at the Fermi level is 0.12 states/eV/f.u. The calculation puts the total energy at -2.88 eV/atom. The calculation puts the magnetic moment at 0.00 μB per cell.


A relaxed structure of K2H2Pb. Source: Alexandria via LeMat-Bulk, functional PBE-GGA.

Lattice parameters (Å, degrees): 4.704 4.704 6.925 70.15 70.15 90.00
Sites, in units of the cell vectors:
1 K 0.664 0.664 0.673
2 K 0.336 0.336 0.327
3 H 0.750 0.250 0.500
4 H 0.250 0.750 0.500
5 Pb 0.000 0.000 0.000

Summary:
The space group is I4/mmm (139). The density of states at the Fermi level is 2.13 states/eV/f.u. The calculation puts the magnetic moment at 0.00 μB per cell. The calculation puts the offset from the most stable computed form at 194 meV per atom.


A relaxed structure of KHPb3. Source: Alexandria via LeMat-Bulk, functional PBE-GGA.

Lattice parameters (Å, degrees): 5.131 5.131 5.131 90.00 90.00 90.00
Sites, in units of the cell vectors:
1 Pb 0.500 0.000 0.000
2 Pb 0.000 0.500 0.000
3 Pb 0.000 0.000 0.500
4 K 0.500 0.500 0.500
5 H 0.000 0.000 0.000

Summary:
The space group is Pm-3m (221). The density of states at the Fermi level is 1.50 states/eV/f.u. The calculation puts the magnetic moment at 0.00 μB per cell. The calculation puts the offset from the most stable computed form at 0 meV per atom.